Entry 1:
Material: Y2PAu
Method: DFT, PBE-GGA
State: relaxed

Results
DOS(E_F) = 1.026 states/eV/atom
DFT formation energy = -1.07 eV/atom
DFT total energy = -51.78 eV for the cell shown
space group = No. 38

a = 4.1585 Å, b = 4.0323 Å, c = 10.8966 Å
α = 90.00°, β = 90.00°, γ = 90.00°
With the nearest neighbours (Å) after each atom.
Fractional positions:
1 Y 0.0000 0.0000 0.0000  4 P 2.94, 3 Au 3.01-3.16
2 Y 0.0000 0.5000 0.5000  4 P 2.94, 3 Au 3.01-3.16
3 Y 0.5000 0.0000 0.2806  1 P 2.88, 4 Au 2.96
4 Y 0.5000 0.5000 0.7806  1 P 2.88, 4 Au 2.96
5 P 0.5000 0.0000 0.5452  2 Au 2.85, 5 Y 2.88-2.94
6 P 0.5000 0.5000 0.0452  2 Au 2.85, 5 Y 2.88-2.94
7 Au 0.0000 0.0000 0.7238  2 P 2.85, 7 Y 2.96-3.16
8 Au 0.0000 0.5000 0.2238  2 P 2.85, 7 Y 2.96-3.16



Entry 2:
Material: Y2PAu
Method: DFT, PBE-GGA
State: relaxed

Results
DOS(E_F) = 0.507 states/eV/atom
DFT formation energy = -0.99 eV/atom
DFT total energy = -25.59 eV for the cell shown
space group = No. 10

a = 3.5724 Å, b = 3.5853 Å, c = 6.9299 Å
α = 90.00°, β = 93.64°, γ = 90.00°
With the nearest neighbours (Å) after each atom.
Fractional positions:
1 Y 0.0331 0.0000 0.2663  4 P 2.88-3.14, 4 Au 3.13
2 Y 0.9669 0.0000 0.7337  4 P 2.88-3.14, 4 Au 3.13
3 P 0.5000 0.5000 0.5000  8 Y 2.88-3.14
4 Au 0.5000 0.5000 0.0000  8 Y 3.13, 2 P 3.46



Q: Which formula does entry 1 have?
A: Y2PAu



Please write out number 2 again, unchanged.
Material: Y2PAu
Method: DFT, PBE-GGA
State: relaxed

Results
DOS(E_F) = 0.507 states/eV/atom
DFT formation energy = -0.99 eV/atom
DFT total energy = -25.59 eV for the cell shown
space group = No. 10

a = 3.5724 Å, b = 3.5853 Å, c = 6.9299 Å
α = 90.00°, β = 93.64°, γ = 90.00°
With the nearest neighbours (Å) after each atom.
Fractional positions:
1 Y 0.0331 0.0000 0.2663  4 P 2.88-3.14, 4 Au 3.13
2 Y 0.9669 0.0000 0.7337  4 P 2.88-3.14, 4 Au 3.13
3 P 0.5000 0.5000 0.5000  8 Y 2.88-3.14
4 Au 0.5000 0.5000 0.0000  8 Y 3.13, 2 P 3.46



Q: DOS(E_F) of number 2 (Y2PAu)?
A: 0.507 states/eV/atom